(1)
A plane-wave DFT calculation with PBE was carried out for SrNbMo2P after structural relaxation.

Cell: 4.5490 4.5490 5.3021 Å, 90.00 90.00 90.00°
Positions (direct):
Sr  0.0000  0.0000  0.0000
Nb  0.5000  0.5000  0.0000
Mo  0.0000  0.5000  0.5000
Mo  0.5000  0.0000  0.5000
P  0.0000  0.0000  0.5000

Values from the calculation:
SG: P4/mmm (123)
Energy relative to the elements in meV/atom: 890

***

(2)
A plane-wave DFT calculation with PBE was carried out for AcCd2Si2 after structural relaxation.

Cell: 9.7816 9.7816 9.7816 Å, 154.27 154.27 36.71°
Positions (direct):
Ac  0.0000  0.0000  0.0000
Cd  0.2500  0.7500  0.5000
Cd  0.7500  0.2500  0.5000
Si  0.1635  0.1635  0.0000
Si  0.8365  0.8365  0.0000

Values from the calculation:
SG: I4/mmm (139)
Formation energy (no corrections) in meV per atom: 573

***

no.,N(E_F) (states/eV/cell)
1,6.112
2,4.239